This record from Alexandria describes a geometry-optimized FeGe2Mo structure. The functional is PBE.

Output
As for the relative energy among the computed polymorphs: 0.314 eV/atom. The formation energy comes out at 0.44 eV/atom. The value obtained for the density of states at the Fermi level is 14.01 states/eV/cell. For the magnetic moment, the calculation gives 8.27 μB per cell. The total energy comes out at -6.689 eV per atom.

CIF file:
```
data_FeGe2Mo
_cell_length_a 6.6760
_cell_length_b 6.6760
_cell_length_c 5.6060
_cell_angle_alpha 90.00
_cell_angle_beta 90.00
_cell_angle_gamma 90.00
_space_group_name_H-M_alt 'I -4 2 d'
_space_group_IT_number 122
_space_group_name_Hall 'I -4 2bw'
loop_
_atom_site_label
_atom_site_type_symbol
_atom_site_fract_x
_atom_site_fract_y
_atom_site_fract_z
Fe1 Fe 0.0000 0.0000 0.0000
Ge1 Ge 0.2229 0.7500 0.1250
Mo1 Mo 0.0000 0.0000 0.5000
```